Record 1
Entry from the Alexandria database: a relaxed TbNd2ErBi5 crystal (GGA-PBE).

abc: 5.458 5.458 11.879
angles: 90.00 90.00 90.00
Fractional coordinates of all 9 atoms:
Tb: 0.000 0.000 0.500
Nd: 0.500 0.500 0.276
Nd: 0.500 0.500 0.724
Er: 0.000 0.000 0.000
Bi: 0.000 0.500 0.500
Bi: 0.500 0.000 0.500
Bi: 0.000 0.000 0.755
Bi: 0.000 0.000 0.245
Bi: 0.500 0.500 0.000

Properties
Calculated formation energy = -94.3 meV per atom



Record 2
Entry from the Alexandria database: a relaxed Li2Ni4P crystal (GGA-PBE).

abc: 4.102 4.102 6.782
angles: 72.40 72.40 90.00
Fractional coordinates of all 7 atoms:
Ni: 0.170 0.170 0.659
Ni: 0.830 0.830 0.341
Ni: 0.000 0.500 0.000
Ni: 0.500 0.000 0.000
Li: 0.371 0.371 0.259
Li: 0.629 0.629 0.741
P: 0.000 0.000 0.000

Properties
Calculated formation energy = 173.2 meV per atom



Record 3
Entry from the Alexandria database: a relaxed Bi3Te4Au crystal (GGA-PBE).

abc: 6.287 8.841 10.006
angles: 90.00 90.00 90.00
Fractional coordinates of all 16 atoms:
Bi: 0.564 0.694 0.000
Bi: 0.064 0.649 0.323
Bi: 0.564 0.351 0.177
Bi: 0.064 0.306 0.500
Bi: 0.564 0.351 0.823
Bi: 0.064 0.649 0.677
Te: 0.064 0.762 0.000
Te: 0.564 0.068 0.000
Te: 0.064 0.313 0.184
Te: 0.564 0.687 0.316
Te: 0.064 0.932 0.500
Te: 0.564 0.238 0.500
Te: 0.564 0.687 0.684
Te: 0.064 0.313 0.816
Au: 0.064 0.064 0.000
Au: 0.564 0.936 0.500

Properties
ΔE_f (raw) = -0.06 eV per atom



Record 4
Entry from the Alexandria database: a relaxed Rb3AsF8 crystal (GGA-PBE).

abc: 6.081 6.081 7.268
angles: 114.73 114.73 90.00
Fractional coordinates of all 12 atoms:
Rb: 0.750 0.250 0.500
Rb: 0.500 0.500 0.000
Rb: 0.250 0.750 0.500
As: 0.000 0.000 0.000
F: 0.288 0.288 0.196
F: 0.288 0.909 0.196
F: 0.091 0.712 0.804
F: 0.091 0.091 0.804
F: 0.909 0.909 0.196
F: 0.909 0.288 0.196
F: 0.712 0.091 0.804
F: 0.712 0.712 0.804

Properties
ΔE_f (raw) = -2.20 eV per atom



Record 5
Entry from the Alexandria database: a relaxed LiBe4 crystal (GGA-PBE).

abc: 4.486 4.486 4.486
angles: 128.68 128.68 75.52
Fractional coordinates of all 5 atoms:
Li: 0.000 0.000 0.000
Be: 0.750 0.250 0.500
Be: 0.250 0.750 0.500
Be: 0.648 0.648 0.000
Be: 0.352 0.352 0.000

Properties
Calculated formation energy = 423.3 meV per atom



Record 6
Entry from the Alexandria database: a relaxed CsRb2AlBr6 crystal (GGA-PBE).

abc: 8.340 8.340 8.340
angles: 60.00 60.00 90.00
Fractional coordinates of all 10 atoms:
Cs: 0.000 0.000 0.000
Br: 0.286 0.286 0.428
Br: 0.714 0.714 0.572
Br: 0.286 0.286 0.000
Br: 0.714 0.714 0.000
Br: 0.714 0.286 0.000
Br: 0.286 0.714 0.000
Rb: 0.750 0.250 0.500
Rb: 0.250 0.750 0.500
Al: 0.500 0.500 0.000

Properties
ΔE_f (raw) = -1.44 eV per atom



Record 7
Entry from the Alexandria database: a relaxed Dy3Zn8Ag3 crystal (GGA-PBE).

abc: 4.395 8.306 8.306
angles: 65.32 74.66 74.66
Fractional coordinates of all 14 atoms:
Dy: 0.500 0.500 0.500
Dy: 0.801 0.199 0.199
Dy: 0.199 0.801 0.801
Zn: 0.638 0.085 0.639
Zn: 0.362 0.915 0.361
Zn: 0.638 0.639 0.085
Zn: 0.362 0.361 0.915
Zn: 0.830 0.808 0.532
Zn: 0.170 0.192 0.468
Zn: 0.830 0.532 0.808
Zn: 0.170 0.468 0.192
Ag: 0.500 0.000 0.000
Ag: 0.000 0.791 0.209
Ag: 0.000 0.209 0.791

Properties
Calculated formation energy = -296.0 meV per atom



What is the formula in the sixth record? CsRb2AlBr6



Which formula does entry 2 have? Li2Ni4P